Here is a geometry-optimized KHoBeF6 structure from Alexandria. Energies are from PBE.

Output
Energy relative to the elements, uncorrected in meV/atom: -3623

CIF file:
```
data_KHoBeF6
_chemical_formula_sum 'K2 Ho2 Be2 F12'
_space_group_name_H-M_alt 'P 1 21/m 1'
_space_group_IT_number 11
_cell_length_a 6.417
_cell_length_b 5.837
_cell_length_c 7.117
_cell_angle_alpha 90.00
_cell_angle_beta 113.14
_cell_angle_gamma 90.00
loop_
_space_group_symop_operation_xyz
'x,y,z'
'-x,-y,-z'
'-x,y+1/2,-z'
'x,-y+1/2,z'
loop_
_atom_site_label
_atom_site_type_symbol
_atom_site_fract_x
_atom_site_fract_y
_atom_site_fract_z
_atom_site_occupancy
K1 K 0.072 0.250 0.203 1
Ho1 Ho 0.390 0.250 0.822 1
Be1 Be 0.232 0.750 0.463 1
F1 F 0.008 0.750 0.265 1
F2 F 0.236 0.534 0.594 1
F3 F 0.320 0.502 0.033 1
F4 F 0.439 0.750 0.404 1
```

Here is a geometry-optimized BaMgSi2B structure from Alexandria. Energies are from PBE.

Output
Energy relative to the elements, uncorrected in meV/atom: 819

CIF file:
```
data_BaMgSi2B
_chemical_formula_sum 'Ba1 Mg1 Si2 B1'
_space_group_name_H-M_alt 'P 4/m m m'
_space_group_IT_number 123
_space_group_name_Hall '-P 4 2'
_cell_length_a 5.050
_cell_length_b 5.050
_cell_length_c 4.678
_cell_angle_alpha 90.00
_cell_angle_beta 90.00
_cell_angle_gamma 90.00
loop_
_atom_site_label
_atom_site_type_symbol
_atom_site_fract_x
_atom_site_fract_y
_atom_site_fract_z
_atom_site_occupancy
Ba1 Ba 0.000 0.000 0.000 1
Mg1 Mg 0.500 0.500 0.500 1
Si1 Si 0.000 0.500 0.500 1
B1 B 0.500 0.500 0.000 1
```

Here is a geometry-optimized CeTmPaTc structure from Alexandria. Energies are from PBE.

Output
Formation energy from the elements in eV/f.u.: 0.40

CIF file:
```
data_CeTmPaTc
_chemical_formula_sum 'Ce4 Tm4 Pa4 Tc4'
_space_group_name_H-M_alt 'F -4 3 m'
_space_group_IT_number 216
_space_group_name_Hall 'F -4 2 3'
_cell_length_a 7.073
_cell_length_b 7.073
_cell_length_c 7.073
_cell_angle_alpha 90.00
_cell_angle_beta 90.00
_cell_angle_gamma 90.00
loop_
_atom_site_label
_atom_site_type_symbol
_atom_site_fract_x
_atom_site_fract_y
_atom_site_fract_z
_atom_site_occupancy
Ce1 Ce 0.000 0.000 0.000 1
Tm1 Tm 0.250 0.250 0.750 1
Pa1 Pa 0.250 0.250 0.250 1
Tc1 Tc 0.000 0.000 0.500 1
```

Here is a geometry-optimized HgHIO2 structure from Alexandria. Energies are from PBE.

Output
Electronic total energy in eV per atom: -2.15

CIF file:
```
data_HgHIO2
_chemical_formula_sum 'Hg1 H1 I1 O2'
_space_group_name_H-M_alt 'P 4/m m m'
_space_group_IT_number 123
_space_group_name_Hall '-P 4 2'
_cell_length_a 4.466
_cell_length_b 4.466
_cell_length_c 3.498
_cell_angle_alpha 90.00
_cell_angle_beta 90.00
_cell_angle_gamma 90.00
loop_
_atom_site_label
_atom_site_type_symbol
_atom_site_fract_x
_atom_site_fract_y
_atom_site_fract_z
_atom_site_occupancy
Hg1 Hg 0.000 0.000 0.000 1
H1 H 0.500 0.500 0.500 1
I1 I 0.500 0.500 0.000 1
O1 O 0.000 0.500 0.500 1
```

Here is a geometry-optimized ZnIn3Au12 structure from Alexandria. Energies are from PBE.

Output
Formation energy from the elements in eV/f.u.: -1.93

CIF file:
```
data_ZnIn3Au12
_chemical_formula_sum 'Zn1 In3 Au12'
_space_group_name_H-M_alt 'P m m 2'
_space_group_IT_number 25
_cell_length_a 4.741
_cell_length_b 11.713
_cell_length_c 5.340
_cell_angle_alpha 90.00
_cell_angle_beta 90.00
_cell_angle_gamma 90.00
loop_
_space_group_symop_operation_xyz
'x,y,z'
'-x,-y,z'
'-x,y,z'
'x,-y,z'
loop_
_atom_site_label
_atom_site_type_symbol
_atom_site_fract_x
_atom_site_fract_y
_atom_site_fract_z
_atom_site_occupancy
Zn1 Zn 0.000 0.000 0.000 1
In1 In 0.000 0.500 0.013 1
In2 In 0.500 0.248 0.339 1
Au1 Au 0.000 0.122 0.511 1
Au2 Au 0.000 0.242 0.016 1
Au3 Au 0.000 0.372 0.516 1
Au4 Au 0.500 0.000 0.309 1
Au5 Au 0.500 0.120 0.832 1
Au6 Au 0.500 0.374 0.840 1
Au7 Au 0.500 0.500 0.336 1
```

Here is a geometry-optimized Ca2SiTe4 structure from Alexandria. Energies are from PBE.

Output
Energy relative to the elements, uncorrected in meV/atom: -856

CIF file:
```
data_Ca2SiTe4
_chemical_formula_sum 'Ca4 Si2 Te8'
_space_group_name_H-M_alt 'P 1 21/m 1'
_space_group_IT_number 11
_cell_length_a 7.335
_cell_length_b 7.612
_cell_length_c 8.517
_cell_angle_alpha 90.00
_cell_angle_beta 106.84
_cell_angle_gamma 90.00
loop_
_space_group_symop_operation_xyz
'x,y,z'
'-x,-y,-z'
'-x,y+1/2,-z'
'x,-y+1/2,z'
loop_
_atom_site_label
_atom_site_type_symbol
_atom_site_fract_x
_atom_site_fract_y
_atom_site_fract_z
_atom_site_occupancy
Ca1 Ca 0.216 0.250 0.051 1
Ca2 Ca 0.244 0.250 0.564 1
Si1 Si 0.242 0.750 0.312 1
Te1 Te 0.005 0.002 0.254 1
Te2 Te 0.418 0.750 0.099 1
Te3 Te 0.426 0.750 0.611 1
```

Here is a geometry-optimized ZnAu2Se structure from Alexandria. Energies are from PBE.

Output
Energy relative to the elements, uncorrected in meV/atom: 106

CIF file:
```
data_ZnAu2Se
_chemical_formula_sum 'Zn1 Au2 Se1'
_space_group_name_H-M_alt 'P 4 m m'
_space_group_IT_number 99
_cell_length_a 2.951
_cell_length_b 2.951
_cell_length_c 8.469
_cell_angle_alpha 90.00
_cell_angle_beta 90.00
_cell_angle_gamma 90.00
loop_
_space_group_symop_operation_xyz
'x,y,z'
'-y,x,z'
'-x,-y,z'
'y,-x,z'
'-x,y,z'
'y,x,z'
'x,-y,z'
'-y,-x,z'
loop_
_atom_site_label
_atom_site_type_symbol
_atom_site_fract_x
_atom_site_fract_y
_atom_site_fract_z
_atom_site_occupancy
Zn1 Zn 0.000 0.000 0.000 1
Au1 Au 0.000 0.000 0.461 1
Au2 Au 0.500 0.500 0.208 1
Se1 Se 0.500 0.500 0.757 1
```

Here is a geometry-optimized TbSm2TmTl4 structure from Alexandria. Energies are from PBE.

Output
Formation energy from the elements in eV/f.u.: -2.79

CIF file:
```
data_TbSm2TmTl4
_chemical_formula_sum 'Tb3 Sm6 Tm3 Tl12'
_space_group_name_H-M_alt 'R -3 m'
_space_group_IT_number 166
_space_group_name_Hall '-R 3 2"'
_cell_length_a 5.4029
_cell_length_b 5.4029
_cell_length_c 26.5366
_cell_angle_alpha 90.00
_cell_angle_beta 90.00
_cell_angle_gamma 120.00
loop_
_atom_site_label
_atom_site_type_symbol
_atom_site_fract_x
_atom_site_fract_y
_atom_site_fract_z
_atom_site_occupancy
Tb1 Tb 0.0000 0.0000 0.0000 1
Sm1 Sm 0.0000 0.0000 0.2495 1
Tm1 Tm 0.0000 0.0000 0.5000 1
Tl1 Tl 0.0000 0.0000 0.1255 1
Tl2 Tl 0.0000 0.0000 0.3755 1
```

Here is a geometry-optimized AcTm2Sb structure from Alexandria. Energies are from PBE.

Output
Energy relative to the elements, uncorrected in meV/atom: -381

CIF file:
```
data_AcTm2Sb
_chemical_formula_sum 'Ac1 Tm2 Sb1'
_space_group_name_H-M_alt 'P 4/m m m'
_space_group_IT_number 123
_space_group_name_Hall '-P 4 2'
_cell_length_a 4.944
_cell_length_b 4.944
_cell_length_c 4.934
_cell_angle_alpha 90.00
_cell_angle_beta 90.00
_cell_angle_gamma 90.00
loop_
_atom_site_label
_atom_site_type_symbol
_atom_site_fract_x
_atom_site_fract_y
_atom_site_fract_z
_atom_site_occupancy
Ac1 Ac 0.000 0.000 0.000 1
Tm1 Tm 0.000 0.500 0.500 1
Sb1 Sb 0.500 0.500 0.000 1
```

Here is a geometry-optimized MgBe3Ni10 structure from Alexandria. Energies are from PBE.

Output
Formation energy from the elements in eV/f.u.: -0.83

CIF file:
```
data_MgBe3Ni10
_chemical_formula_sum 'Mg8 Be24 Ni80'
_space_group_name_H-M_alt 'F m -3 m'
_space_group_IT_number 225
_space_group_name_Hall '-F 4 2 3'
_cell_length_a 10.733
_cell_length_b 10.733
_cell_length_c 10.733
_cell_angle_alpha 90.00
_cell_angle_beta 90.00
_cell_angle_gamma 90.00
loop_
_atom_site_label
_atom_site_type_symbol
_atom_site_fract_x
_atom_site_fract_y
_atom_site_fract_z
_atom_site_occupancy
Mg1 Mg 0.250 0.250 0.250 1
Be1 Be 0.000 0.000 0.225 1
Ni1 Ni 0.000 0.170 0.330 1
Ni2 Ni 0.119 0.119 0.119 1
```

Here is a geometry-optimized SiTe2W structure from Alexandria. Energies are from PBE.

Output
Energy relative to the elements, uncorrected in meV/atom: 151

CIF file:
```
data_SiTe2W
_chemical_formula_sum 'Si1 Te2 W1'
_space_group_name_H-M_alt 'P 4 m m'
_space_group_IT_number 99
_cell_length_a 3.343
_cell_length_b 3.343
_cell_length_c 7.958
_cell_angle_alpha 90.00
_cell_angle_beta 90.00
_cell_angle_gamma 90.00
loop_
_space_group_symop_operation_xyz
'x,y,z'
'-y,x,z'
'-x,-y,z'
'y,-x,z'
'-x,y,z'
'y,x,z'
'x,-y,z'
'-y,-x,z'
loop_
_atom_site_label
_atom_site_type_symbol
_atom_site_fract_x
_atom_site_fract_y
_atom_site_fract_z
_atom_site_occupancy
Si1 Si 0.000 0.000 0.000 1
Te1 Te 0.000 0.000 0.635 1
Te2 Te 0.500 0.500 0.209 1
W1 W 0.500 0.500 0.854 1
```

Here is a geometry-optimized Li4TbSn structure from Alexandria. Energies are from PBE.

Output
Formation energy from the elements in eV/f.u.: -0.92

CIF file:
```
data_Li4TbSn
_chemical_formula_sum 'Li16 Tb4 Sn4'
_space_group_name_H-M_alt 'F -4 3 m'
_space_group_IT_number 216
_space_group_name_Hall 'F -4 2 3'
_cell_length_a 7.802
_cell_length_b 7.802
_cell_length_c 7.802
_cell_angle_alpha 90.00
_cell_angle_beta 90.00
_cell_angle_gamma 90.00
loop_
_atom_site_label
_atom_site_type_symbol
_atom_site_fract_x
_atom_site_fract_y
_atom_site_fract_z
_atom_site_occupancy
Li1 Li 0.124 0.124 0.376 1
Tb1 Tb 0.000 0.000 0.000 1
Sn1 Sn 0.250 0.250 0.750 1
```